InMoRu2 | GGA-PBE | optimized geometry

The structure in CIF format:
```
data_InMoRu2
_chemical_formula_sum 'In3 Mo3 Ru6'
_cell_length_a 2.8523
_cell_length_b 2.8523
_cell_length_c 27.2962
_cell_angle_alpha 90.00
_cell_angle_beta 90.00
_cell_angle_gamma 120.00
_space_group_name_H-M_alt 'R 3 m'
_space_group_IT_number 160
_space_group_name_Hall 'R 3 -2"'
loop_
_atom_site_label
_atom_site_fract_x
_atom_site_fract_y
_atom_site_fract_z
_atom_site_occupancy
In1 0.0000 0.0000 0.0000 1
Mo1 0.0000 0.0000 0.7578 1
Ru1 0.0000 0.0000 0.2475 1
Ru2 0.0000 0.0000 0.5033 1
```

Total moment in Bohr magnetons per cell: 0.00
Energy in eV/atom: -7.73
DOS(E_F) in states/eV/cell: 8.68
Theoretical density in Mg/m³: 10.69